Record 1
DFT (PBE) results for Mg2NiW after structural relaxation.

Cell lengths 4.8276, 4.8276, 5.1541 Å; angles 80.10, 80.10, 33.16 degrees
Last column: nearest neighbours and their distance in Å.
Fractional coordinates of all 4 atoms:
1 Mg 0.9992 0.9992 0.0038  5 Mg 2.69-2.92, 2 Ni 2.71, 3 W 2.84-2.94
2 Mg 0.7665 0.7665 0.7559  5 Mg 2.69-2.92, 2 Ni 2.77, 4 W 2.85-3.02
3 Ni 0.4977 0.4977 0.4568  3 W 2.62-2.72, 4 Mg 2.71-2.77, 2 Ni 2.76
4 W 0.2366 0.2366 0.2836  3 Ni 2.62-2.72, 2 W 2.76, 3 Mg 2.84-2.85

## Properties
The energy above the most stable polymorph in this dataset is 220.8 meV/atom. Its space group is Cm, No. 8. For the formation energy, the calculation gives 0.330 eV per atom.


Record 2
DFT (PBE) results for Be2TlIr2 after structural relaxation.

Cell lengths 3.6307, 3.6307, 6.1451 Å; angles 72.82, 72.82, 90.00 degrees
Last column: nearest neighbours and their distance in Å.
Fractional coordinates of all 5 atoms:
1 Be 0.7500 0.2500 0.5000  4 Ir 2.31, 4 Be 2.57
2 Be 0.2500 0.7500 0.5000  4 Ir 2.31, 4 Be 2.57
3 Tl 0.0000 0.0000 0.0000  8 Ir 2.91
4 Ir 0.3772 0.3772 0.2455  4 Be 2.31
5 Ir 0.6228 0.6228 0.7545  4 Be 2.31

## Properties
The energy above the most stable polymorph in this dataset is 157.6 meV/atom. Its space group is I4/mmm, No. 139. For the formation energy, the calculation gives 0.107 eV per atom.


Record 3
DFT (PBE) results for AlCuI6 after structural relaxation.

Cell lengths 9.3706, 6.6665, 7.4621 Å; angles 84.76, 82.54, 45.35 degrees
Last column: nearest neighbours and their distance in Å.
Fractional coordinates of all 8 atoms:
1 Al 0.0000 0.0000 0.0000  6 I 2.72-2.81
2 Cu 0.0000 0.0000 0.5000  4 I 2.59
3 I 0.2793 0.0000 0.0630  1 Al 2.72
4 I 0.8768 0.3873 0.7168  1 Cu 2.59, 1 Al 2.81
5 I 0.7207 0.0000 0.9370  1 Al 2.72
6 I 0.7359 0.3873 0.2832  1 Cu 2.59, 1 Al 2.81
7 I 0.1232 0.6127 0.2832  1 Cu 2.59, 1 Al 2.81
8 I 0.2641 0.6127 0.7168  1 Cu 2.59, 1 Al 2.81

## Properties
Its space group is C2/m, No. 12. The calculation puts the uncorrected formation energy at -0.26 eV per atom.


So what do the calculations give for uncorrected energy? Going down the list: -5.15 -5.40 -2.40 eV per atom.